1.
# TlAg2Au

A relaxed TlAg2Au crystal (PBEsol, Alexandria).

Values from the calculation:
Density of states at the Fermi level = 0.27 states/eV per atom
Total energy = -3.246 eV per atom

The structure in POSCAR format:
```
TlAg2Au
1.0
4.142 0.000 0.000
0.000 4.142 0.000
0.000 0.000 8.592
Tl Ag Au
2 4 2
Direct
0.000 0.000 0.000
0.500 0.500 0.500
0.000 0.500 0.250
0.000 0.500 0.750
0.500 0.000 0.250
0.500 0.000 0.750
0.000 0.000 0.500
0.500 0.500 0.000
```

---

2.
# SrTeIr

A relaxed SrTeIr crystal (PBEsol, Alexandria).

Values from the calculation:
Density of states at the Fermi level = 0.64 states/eV per atom
Formation energy from raw total energies = -0.622 eV/atom
Total energy = -5.686 eV per atom

The structure in POSCAR format:
```
SrTeIr
1.0
4.435 0.000 0.000
-2.217 3.841 0.000
0.000 0.000 4.488
Sr Te Ir
1 1 1
Direct
0.000 0.000 0.000
0.333 0.667 0.500
0.667 0.333 0.500
```

---

3.
# Ca2Pd2Se

A relaxed Ca2Pd2Se crystal (PBEsol, Alexandria).

Values from the calculation:
Density of states at the Fermi level = 0.30 states/eV per atom
Formation energy from raw total energies = -0.937 eV/atom
Total energy = -4.944 eV per atom

The structure in POSCAR format:
```
Ca2Pd2Se
1.0
3.715 0.000 0.000
0.000 3.715 0.000
0.000 0.000 15.705
Ca Pd Se
4 4 2
Direct
0.000 0.000 0.107
0.000 0.000 0.893
0.500 0.500 0.393
0.500 0.500 0.607
0.000 0.500 0.250
0.000 0.500 0.750
0.500 0.000 0.250
0.500 0.000 0.750
0.000 0.000 0.500
0.500 0.500 0.000
```

---

4.
# CuSi2As

A relaxed CuSi2As crystal (PBEsol, Alexandria).

Values from the calculation:
Density of states at the Fermi level = 0.52 states/eV per atom
Formation energy from raw total energies = 0.461 eV/atom
Total energy = -4.773 eV per atom

The structure in POSCAR format:
```
CuSi2As
1.0
6.215 0.000 0.000
0.000 6.215 0.000
0.000 0.000 6.215
Cu Si As
4 8 4
Direct
0.000 0.000 0.000
0.000 0.500 0.500
0.500 0.000 0.500
0.500 0.500 0.000
0.250 0.250 0.250
0.250 0.250 0.750
0.250 0.750 0.250
0.250 0.750 0.750
0.750 0.250 0.250
0.750 0.250 0.750
0.750 0.750 0.250
0.750 0.750 0.750
0.000 0.000 0.500
0.000 0.500 0.000
0.500 0.000 0.000
0.500 0.500 0.500
```

---

5.
# KBeCu2

A relaxed KBeCu2 crystal (PBEsol, Alexandria).

Values from the calculation:
Density of states at the Fermi level = 0.37 states/eV per atom
Total energy = -3.197 eV per atom

The structure in POSCAR format:
```
KBeCu2
1.0
3.996 0.000 0.000
-1.998 3.461 0.000
0.000 0.000 17.356
K Be Cu
3 3 6
Direct
0.000 0.000 0.000
0.333 0.667 0.667
0.667 0.333 0.333
0.000 0.000 0.500
0.333 0.667 0.167
0.667 0.333 0.833
0.000 0.000 0.178
0.000 0.000 0.822
0.333 0.667 0.489
0.333 0.667 0.845
0.667 0.333 0.155
0.667 0.333 0.511
```

---

6.
# Zn2Ir

A relaxed Zn2Ir crystal (PBEsol, Alexandria).

Values from the calculation:
Density of states at the Fermi level = 0.46 states/eV per atom
Total energy = -4.499 eV per atom

The structure in POSCAR format:
```
Zn2Ir
1.0
-1.881 1.881 11.500
1.881 -1.881 11.500
1.881 1.881 -11.500
Zn Ir
8 4
Direct
0.124 0.374 0.750
0.287 0.537 0.750
0.374 0.124 0.250
0.463 0.713 0.750
0.537 0.287 0.250
0.626 0.876 0.750
0.713 0.463 0.250
0.876 0.626 0.250
0.048 0.798 0.250
0.202 0.952 0.250
0.798 0.048 0.750
0.952 0.202 0.750
```